Tb2Y3HoBi6 | PBE-GGA | optimized geometry

For the density of states at the Fermi level, the calculation gives 2.22 states/eV/f.u. Its formation energy is -0.881 eV/atom.

The structure belongs to space group C2/m (No. 12); the cell edges are 7.766, 13.453 and 7.760 Å and the angles 90.00°, 109.46° and 90.00°. The asymmetric unit holds Tb at (0.000, 0.166, 0.000), Y at (0.000, 0.000, 0.500), Y at (0.000, 0.333, 0.500), Ho at (0.000, 0.500, 0.000), Bi at (0.249, 0.334, 0.249) and Bi at (0.249, 0.500, 0.750).



RbSn2HgRh | PBE-GGA | optimized geometry

For the density of states at the Fermi level, the calculation gives 4.10 states/eV/f.u. Its formation energy is -0.119 eV/atom.

The structure belongs to space group P4/mmm (No. 123); the cell edges are 5.201, 5.201 and 5.467 Å and the angles 90.00°, 90.00° and 90.00°. The asymmetric unit holds Rb at (0.000, 0.000, 0.000), Sn at (0.000, 0.500, 0.500), Hg at (0.500, 0.500, 0.000) and Rh at (0.500, 0.500, 0.500).



TbTh4Tc2 | PBE-GGA | optimized geometry

For the density of states at the Fermi level, the calculation gives 7.80 states/eV/f.u. Its formation energy is -0.035 eV/atom.

The structure belongs to space group P2_1/m (No. 11); the cell edges are 7.895, 6.656 and 7.908 Å and the angles 90.00°, 112.17° and 90.00°. The asymmetric unit holds Tb at (0.166, 0.250, 0.027), Th at (0.025, 0.250, 0.383), Th at (0.229, 0.750, 0.316), Th at (0.404, 0.002, 0.755), Tc at (0.246, 0.750, 0.984) and Tc at (0.379, 0.250, 0.425).



CoTe2H2 | PBE-GGA | optimized geometry

For the density of states at the Fermi level, the calculation gives 2.99 states/eV/f.u. As for the relative energy among the computed polymorphs: 0.928 eV per formula unit.

The structure belongs to space group I4/mmm (No. 139); the cell edges are 3.288, 3.288 and 12.642 Å and the angles 90.00°, 90.00° and 90.00°. The asymmetric unit holds Co at (0.000, 0.000, 0.000), Te at (0.000, 0.000, 0.377) and H at (0.000, 0.500, 0.250).



CaY3Ir | PBE-GGA | optimized geometry

For the density of states at the Fermi level, the calculation gives 5.88 states/eV/f.u. Its formation energy is 0.011 eV/atom. As for the relative energy among the computed polymorphs: 2.074 eV per formula unit.

The structure belongs to space group I-4m2 (No. 119); the cell edges are 5.928, 5.928 and 19.505 Å and the angles 90.00°, 90.00° and 90.00°. The asymmetric unit holds Ca at (0.000, 0.000, 0.208), Y at (0.000, 0.250, 0.374), Y at (0.000, 0.500, 0.534), Ir at (0.000, 0.000, 0.500) and Ir at (0.000, 0.500, 0.250).



LiEuHoSn | PBE-GGA | optimized geometry

For the density of states at the Fermi level, the calculation gives 8.38 states/eV/f.u. Its formation energy is -0.397 eV/atom.

The structure belongs to space group F-43m (No. 216); the cell edges are 7.565, 7.565 and 7.565 Å and the angles 90.00°, 90.00° and 90.00°. The asymmetric unit holds Li at (0.000, 0.000, 0.000), Eu at (0.250, 0.250, 0.750), Ho at (0.250, 0.250, 0.250) and Sn at (0.000, 0.000, 0.500).